No. 1
VASP calculation (PBE-GGA) on crystalline GaCo14Ni at its relaxed geometry.

Unit cell a=8.1247 b=5.0113 c=5.0113 alpha=60.00 beta=90.00 gamma=90.00
Closest atoms and distances in Å follow each position.
Element x y z (fractional)
Ga  0.0000  0.0000  0.0000  10 Co 2.50-2.55, 2 Ni 2.51
Co  0.0000  0.5009  0.9989  8 Co 2.48-2.52, 2 Ni 2.50-2.51, 2 Ga 2.50-2.51
Co  0.0000  0.9989  0.5009  8 Co 2.48-2.52, 2 Ni 2.50-2.51, 2 Ga 2.50-2.51
Co  0.2487  0.6666  0.6666  11 Co 2.48-2.51, 1 Ni 2.48
Co  0.2547  0.1688  0.1688  11 Co 2.45-2.54, 1 Ga 2.54
Co  0.2556  0.1702  0.6604  10 Co 2.44-2.55, 1 Ni 2.52, 1 Ga 2.55
Co  0.2556  0.6604  0.1702  10 Co 2.44-2.55, 1 Ni 2.52, 1 Ga 2.55
Co  0.5000  0.3336  0.3336  12 Co 2.44-2.51
Co  0.5000  0.3335  0.8352  12 Co 2.46-2.51
Co  0.5000  0.8352  0.3335  12 Co 2.46-2.51
Co  0.5000  0.8347  0.8347  12 Co 2.46-2.51
Co  0.7444  0.1702  0.6604  10 Co 2.44-2.55, 1 Ni 2.52, 1 Ga 2.55
Co  0.7444  0.6604  0.1702  10 Co 2.44-2.55, 1 Ni 2.52, 1 Ga 2.55
Co  0.7453  0.1688  0.1688  11 Co 2.45-2.54, 1 Ga 2.54
Co  0.7513  0.6666  0.6666  11 Co 2.48-2.51, 1 Ni 2.48
Ni  0.0000  0.5001  0.5001  10 Co 2.48-2.52, 2 Ga 2.51

Calculated values
* calculated formation energy: -0.026 eV per atom
* crystal system: orthorhombic
* space group: No. 38

No. 2
VASP calculation (PBE-GGA) on crystalline NaPrAg2I6 at its relaxed geometry.

Unit cell a=8.8452 b=8.8452 c=8.8452 alpha=53.48 beta=53.48 gamma=53.48
Closest atoms and distances in Å follow each position.
Element x y z (fractional)
Na  0.0000  0.0000  0.0000  6 I 3.26
Pr  0.5001  0.5001  0.5001  6 I 3.16
Ag  0.2424  0.2424  0.2424  3 I 2.78
Ag  0.7576  0.7576  0.7576  3 I 2.78
I  0.1028  0.4055  0.7462  1 Ag 2.78
I  0.2548  0.8969  0.5944  1 Ag 2.78
I  0.4055  0.7462  0.1028  1 Ag 2.78
I  0.5944  0.2548  0.8969  1 Ag 2.78
I  0.7462  0.1028  0.4055  1 Ag 2.78
I  0.8969  0.5944  0.2548  1 Ag 2.78

Calculated values
* crystal system: trigonal
* space group: No. 146

No. 3
VASP calculation (PBE-GGA) on crystalline Ba8PtO2 at its relaxed geometry.

Unit cell a=9.0343 b=9.0343 c=7.4622 alpha=92.06 beta=92.06 gamma=67.36
Closest atoms and distances in Å follow each position.
Element x y z (fractional)
Ba  0.0964  0.6914  0.7294  1 O 2.57
Ba  0.1612  0.1612  0.7987  1 O 2.59
Ba  0.3086  0.9036  0.2706  1 O 2.57
Ba  0.3477  0.3477  0.2305  1 O 2.46
Ba  0.6523  0.6523  0.7695  1 O 2.46
Ba  0.6914  0.0964  0.7294  1 O 2.57
Ba  0.8388  0.8388  0.2013  1 O 2.59
Ba  0.9036  0.3086  0.2706  1 O 2.57
Pt  0.0000  0.0000  0.5000  6 Ba 3.14-3.22
O  0.1876  0.1876  0.1442  4 Ba 2.46-2.59
O  0.8124  0.8124  0.8558  4 Ba 2.46-2.59

Calculated values
* crystal system: monoclinic
* space group: No. 12

No. 4
VASP calculation (PBE-GGA) on crystalline Tl3CrBi3S8 at its relaxed geometry.

Unit cell a=8.7625 b=8.7625 c=8.7625 alpha=54.13 beta=54.13 gamma=54.13
Closest atoms and distances in Å follow each position.
Element x y z (fractional)
Tl  0.0000  0.5000  0.5000  6 S 3.12-3.18
Tl  0.5000  0.0000  0.5000  6 S 3.12-3.18
Tl  0.5000  0.5000  0.0000  6 S 3.12-3.18
Cr  0.5000  0.5000  0.5000  6 S 2.45
Bi  0.0000  0.0000  0.5000  6 S 2.81-2.83
Bi  0.0000  0.5000  0.0000  6 S 2.81-2.83
Bi  0.5000  0.0000  0.0000  6 S 2.81-2.83
S  0.2390  0.2390  0.2390  3 Bi 2.81, 3 Tl 3.12
S  0.2718  0.7083  0.7083  1 Cr 2.45
S  0.2917  0.2917  0.7282  1 Cr 2.45
S  0.2917  0.7282  0.2917  1 Cr 2.45
S  0.7083  0.2718  0.7083  1 Cr 2.45
S  0.7083  0.7083  0.2718  1 Cr 2.45
S  0.7282  0.2917  0.2917  1 Cr 2.45
S  0.7610  0.7610  0.7610  3 Bi 2.81, 3 Tl 3.12

Calculated values
* crystal system: trigonal
* space group: No. 166

No. 5
VASP calculation (PBE-GGA) on crystalline NiOsRu2 at its relaxed geometry.

Unit cell a=4.6254 b=4.6254 c=4.5893 alpha=99.20 beta=99.20 gamma=33.67
Closest atoms and distances in Å follow each position.
Element x y z (fractional)
Ni  0.0000  0.0000  0.0000  6 Ru 2.63-2.69, 4 Os 2.66, 2 Ni 2.68
Os  0.5000  0.5000  0.5000  4 Ni 2.66, 6 Ru 2.66-2.68, 2 Os 2.68
Ru  0.2476  0.2476  0.7514  3 Ni 2.63-2.69, 6 Ru 2.64-2.68, 3 Os 2.66-2.68
Ru  0.7524  0.7524  0.2486  3 Ni 2.63-2.69, 6 Ru 2.64-2.68, 3 Os 2.66-2.68

Calculated values
* calculated formation energy: 0.138 eV per atom
* crystal system: monoclinic
* space group: No. 12
* excess energy over the best structure of this formula in the dataset: 0.22 eV per formula unit

No. 6
VASP calculation (PBE-GGA) on crystalline NpTaOs4 at its relaxed geometry.

Unit cell a=5.2501 b=5.2501 c=5.2501 alpha=60.00 beta=60.00 gamma=60.00
Closest atoms and distances in Å follow each position.
Element x y z (fractional)
Np  0.0000  0.0000  0.0000  12 Os 3.08, 4 Ta 3.21
Ta  0.7500  0.7500  0.7500  12 Os 3.08, 4 Np 3.21
Os  0.3752  0.3752  0.3752  6 Os 2.62-2.63
Os  0.3752  0.3752  0.8743  6 Os 2.62-2.63
Os  0.3752  0.8743  0.3752  6 Os 2.62-2.63
Os  0.8743  0.3752  0.3752  6 Os 2.62-2.63

Calculated values
* calculated formation energy: 0.089 eV per atom
* crystal system: cubic
* space group: No. 216

No. 7
VASP calculation (PBE-GGA) on crystalline Cu3Ru at its relaxed geometry.

Unit cell a=4.9379 b=4.9379 c=4.9379 alpha=117.27 beta=117.27 gamma=117.27
Closest atoms and distances in Å follow each position.
Element x y z (fractional)
Cu  0.0000  0.5000  0.5000  6 Cu 2.47-2.57, 2 Ru 2.57
Cu  0.5000  0.0000  0.5000  6 Cu 2.47-2.57, 2 Ru 2.57
Cu  0.5000  0.5000  0.0000  6 Cu 2.47-2.57, 2 Ru 2.57
Ru  0.0000  0.0000  0.0000  2 Ru 2.47, 6 Cu 2.57

Calculated values
* calculated formation energy: 0.218 eV per atom
* crystal system: trigonal
* space group: No. 166

No. 8
VASP calculation (PBE-GGA) on crystalline Cu4AgPd7 at its relaxed geometry.

Unit cell a=4.7509 b=4.7509 c=11.1442 alpha=106.53 beta=106.53 gamma=47.13
Closest atoms and distances in Å follow each position.
Element x y z (fractional)
Cu  0.1684  0.1684  0.4190  9 Pd 2.68-2.80, 3 Cu 2.70-2.74
Cu  0.1702  0.1702  0.1734  9 Pd 2.70-2.91, 1 Cu 2.74, 2 Ag 2.79
Cu  0.8298  0.8298  0.8266  9 Pd 2.70-2.91, 1 Cu 2.74, 2 Ag 2.79
Cu  0.8316  0.8316  0.5810  9 Pd 2.68-2.80, 3 Cu 2.70-2.74
Ag  0.5000  0.5000  0.0000  8 Pd 2.75-2.82, 4 Cu 2.79
Pd  0.1678  0.1678  0.9120  4 Cu 2.71-2.91, 3 Ag 2.75-2.76, 5 Pd 2.75-2.79
Pd  0.1698  0.1698  0.6623  6 Cu 2.68-2.80, 6 Pd 2.70-2.79
Pd  0.4954  0.4954  0.7454  6 Pd 2.70-2.76, 5 Cu 2.70-2.77, 1 Ag 2.82
Pd  0.5000  0.5000  0.5000  6 Cu 2.72-2.75, 6 Pd 2.72-2.75
Pd  0.5046  0.5046  0.2546  6 Pd 2.70-2.76, 5 Cu 2.70-2.77, 1 Ag 2.82
Pd  0.8302  0.8302  0.3377  6 Cu 2.68-2.80, 6 Pd 2.70-2.79
Pd  0.8322  0.8322  0.0880  4 Cu 2.71-2.91, 3 Ag 2.75-2.76, 5 Pd 2.75-2.79

Calculated values
* calculated formation energy: -0.055 eV per atom
* crystal system: monoclinic
* space group: No. 12
* excess energy over the best structure of this formula in the dataset: 0.00 eV per formula unit

no.,calculated total energy (eV/atom)
1,-6.7939
2,-2.9895
3,-3.9100
4,-4.4950
5,-8.7523
6,-11.5294
7,-5.1729
8,-4.6875